[1]
A plane-wave DFT calculation with PBE-GGA was carried out for a relaxed structure of Pm4DyEr3.

Summary:
Mass density (g cm⁻³): 7.8
Polymorph energy (0 for the lowest one) (meV per atom): 173
E (eV per atom): -4.464
Energy of formation from the pure elements (meV per atom): 197.5

Lattice parameters (Å, degrees): 5.6651 25.9049 3.6250 90.00 90.00 90.00
Last column: nearest neighbours and their distance in Å.
Space group Cmmm (No. 65)
Asymmetric unit:
Pm 0.0000 0.1029 0.0000 [4 per cell]  1 Pm 3.11, 2 Dy 3.22
Pm 0.0000 0.2231 0.0000 [4 per cell]  3 Pm 3.11-3.16
Dy 0.0000 0.0000 0.5000 [2 per cell]  4 Pm 3.22, 4 Er 3.36
Er 0.0000 0.3490 0.5000 [4 per cell]  10 Pm 3.59-3.85, 2 Er 3.63
Er 0.0000 0.5000 0.0000 [2 per cell]  4 Dy 3.36, 2 Er 3.63

---

[2]
A plane-wave DFT calculation with PBE-GGA was carried out for a relaxed structure of Tb4HoEr.

Summary:
Mass density (g cm⁻³): 8.4
Polymorph energy (0 for the lowest one) (meV per atom): 142
E (eV per atom): -4.463
Energy of formation from the pure elements (meV per atom): 147.7

Lattice parameters (Å, degrees): 8.7493 14.8868 6.4494 90.00 114.13 90.00
Last column: nearest neighbours and their distance in Å.
Space group C2/c (No. 15)
Asymmetric unit:
Tb 0.0881 0.2024 0.0469 [8 per cell]  6 Tb 3.32-3.56, 2 Ho 3.36-3.61, 1 Er 3.62
Tb 0.1993 0.3797 0.3890 [8 per cell]  4 Tb 3.20-3.56, 2 Ho 3.33-3.52, 2 Er 3.45-3.47
Ho 0.0000 0.0093 0.7500 [4 per cell]  2 Ho 3.24, 8 Tb 3.33-3.61
Er 0.0000 0.4151 0.7500 [4 per cell]  10 Tb 3.45-3.80

---

[3]
A plane-wave DFT calculation with PBE-GGA was carried out for a relaxed structure of Li2Hf3NbN6.

Summary:
Mass density (g cm⁻³): 9.1
E (eV per atom): -9.206

Lattice parameters (Å, degrees): 5.5071 9.5285 5.3889 90.00 109.71 90.00
Last column: nearest neighbours and their distance in Å.
Space group C2/m (No. 12)
Asymmetric unit:
Li 0.0000 0.1639 0.0000 [4 per cell]  6 N 2.28-2.31
Hf 0.0000 0.0000 0.5000 [2 per cell]  6 N 2.17-2.28
Hf 0.0000 0.3289 0.5000 [4 per cell]  6 N 2.17-2.24
Nb 0.0000 0.5000 0.0000 [2 per cell]  6 N 2.18-2.19
N 0.2303 0.5000 0.7418 [4 per cell]  1 Nb 2.18, 3 Hf 2.20-2.28, 2 Li 2.28
N 0.2457 0.3409 0.2589 [8 per cell]  3 Hf 2.17-2.24, 1 Nb 2.19, 2 Li 2.29-2.31

---

[4]
A plane-wave DFT calculation with PBE-GGA was carried out for a relaxed structure of NpMnFe2.

Summary:
Mass density (g cm⁻³): 12.9
E (eV per atom): -9.549
Energy of formation from the pure elements (meV per atom): 210.2

Lattice parameters (Å, degrees): 2.5173 2.5173 8.2189 90.00 90.00 90.00
Last column: nearest neighbours and their distance in Å.
Space group P4/mmm (No. 123)
Asymmetric unit:
Np 0.0000 0.0000 0.0000 [1 per cell]  4 Np 2.52
Mn 0.0000 0.0000 0.5000 [1 per cell]  8 Fe 2.47, 4 Mn 2.52
Fe 0.5000 0.5000 0.2912 [2 per cell]  4 Mn 2.47, 4 Fe 2.52

---

[5]
A plane-wave DFT calculation with PBE-GGA was carried out for a relaxed structure of Ba3TlHg2Au6.

Summary:
Mass density (g cm⁻³): 10.2
E (eV per atom): -2.826
Energy of formation from the pure elements (meV per atom): -459.3

Lattice parameters (Å, degrees): 6.7729 6.7729 9.0516 90.00 90.00 120.00
Last column: nearest neighbours and their distance in Å.
Space group P-3m1 (No. 164)
Asymmetric unit:
Ba 0.0000 0.0000 0.0000 [1 per cell]  6 Au 3.44
Ba 0.3333 0.6667 0.6296 [2 per cell]  9 Au 3.48-3.51, 1 Hg 3.48
Tl 0.0000 0.0000 0.5000 [1 per cell]  6 Au 2.94
Hg 0.3333 0.6667 0.0143 [2 per cell]  3 Au 3.00
Au 0.1901 0.3803 0.2888 [6 per cell]  2 Au 2.91, 1 Tl 2.94, 1 Hg 3.00

---

[6]
A plane-wave DFT calculation with PBE-GGA was carried out for a relaxed structure of NiHg2Pb2.

Summary:
Mass density (g cm⁻³): 10.6
Polymorph energy (0 for the lowest one) (meV per atom): 0
E (eV per atom): -2.534
Energy of formation from the pure elements (meV per atom): 226.5

Lattice parameters (Å, degrees): 6.9528 6.9528 5.6647 90.00 90.00 90.00
Last column: nearest neighbours and their distance in Å.
Space group P4/mbm (No. 127)
Asymmetric unit:
Ni 0.0000 0.0000 0.0000 [2 per cell]  4 Pb 2.56
Hg 0.1692 0.3308 0.5000 [4 per cell]  2 Pb 3.21, 1 Hg 3.33
Pb 0.1767 0.6767 0.0000 [4 per cell]  2 Ni 2.56

---

[7]
A plane-wave DFT calculation with PBE-GGA was carried out for a relaxed structure of LiSc2CdTc.

Summary:
Mass density (g cm⁻³): 3.7
E (eV per atom): -4.050
Energy of formation from the pure elements (meV per atom): 1121.5

Lattice parameters (Å, degrees): 5.2672 5.2672 4.9701 90.00 90.00 90.00
Last column: nearest neighbours and their distance in Å.
Space group P4/mmm (No. 123)
Asymmetric unit:
Li 0.0000 0.0000 0.0000 [1 per cell]  8 Sc 3.62, 4 Tc 3.72
Sc 0.0000 0.5000 0.5000 [2 per cell]  2 Cd 2.63
Cd 0.5000 0.5000 0.5000 [1 per cell]  2 Tc 2.49, 4 Sc 2.63
Tc 0.5000 0.5000 0.0000 [1 per cell]  2 Cd 2.49

---

[8]
A plane-wave DFT calculation with PBE-GGA was carried out for a relaxed structure of Ba3CaPt.

Summary:
Mass density (g cm⁻³): 4.3
Polymorph energy (0 for the lowest one) (meV per atom): 6
E (eV per atom): -3.130
Energy of formation from the pure elements (meV per atom): -367.6

Lattice parameters (Å, degrees): 6.3076 6.3076 6.3076 90.00 90.00 90.00
Last column: nearest neighbours and their distance in Å.
Space group Pm-3m (No. 221)
Asymmetric unit:
Ba 0.0000 0.0000 0.5000 [3 per cell]  2 Pt 3.15
Ca 0.5000 0.5000 0.5000 [1 per cell]  12 Ba 4.46
Pt 0.0000 0.0000 0.0000 [1 per cell]  6 Ba 3.15